1.
{
  "formula": "Ac2LaNdTe5",
  "functional": "PBE",
  "state": "relaxed",
  "dos_at_fermi_per_ev_cell": 8.61,
  "crystal_system": "tetragonal",
  "raw_formation_energy_kj_per_mol_atoms": -95.1,
  "lattice": [[-1.176, -1.357, -5.398], [3.286, -4.622, 0.446], [-9.491, -6.392, 3.674]],
  "species": ["Ac", "Ac", "Te", "Te", "Te", "Te", "Te", "La", "Nd"],
  "frac_coords": [[0.500, 0.500, 0.323], [0.500, 0.500, 0.677], [0.000, 0.000, 0.247], [0.500, 0.000, 0.500], [0.000, 0.500, 0.500], [0.500, 0.500, 0.000], [0.000, 0.000, 0.753], [0.000, 0.000, 0.000], [0.000, 0.000, 0.500]]
}

***

2.
{
  "formula": "CsTaCo3",
  "functional": "PBE",
  "state": "relaxed",
  "de_polymorph_mev_per_atom": 1205,
  "dos_at_fermi_per_ev_cell": 7.73,
  "crystal_system": "cubic",
  "formation_enthalpy_0k_mev_per_atom": 2661,
  "lattice": [[4.546, 0.000, 0.000], [0.000, 4.546, 0.000], [0.000, 0.000, 4.546]],
  "species": ["Cs", "Co", "Co", "Co", "Ta"],
  "frac_coords": [[0.000, 0.000, 0.000], [0.000, 0.500, 0.000], [0.500, 0.000, 0.000], [0.000, 0.000, 0.500], [0.500, 0.500, 0.500]]
}

***

3.
{
  "formula": "Hg2AsBrF",
  "functional": "PBE",
  "state": "relaxed",
  "dos_at_fermi_per_ev_cell": 1.14,
  "crystal_system": "tetragonal",
  "raw_formation_energy_kj_per_mol_atoms": -54.8,
  "lattice": [[-5.144, 1.592, -0.703], [-1.730, -4.436, 2.611], [0.146, 2.059, 3.596]],
  "species": ["F", "Br", "As", "Hg", "Hg"],
  "frac_coords": [[0.000, 0.000, 0.500], [0.500, 0.500, 0.500], [0.000, 0.000, 0.000], [0.000, 0.500, 0.000], [0.500, 0.000, 0.000]]
}

***

4.
{
  "formula": "TiHgPdF6",
  "functional": "PBE",
  "state": "relaxed",
  "dos_at_fermi_per_ev_cell": 10.96,
  "crystal_system": "trigonal",
  "raw_formation_energy_kj_per_mol_atoms": -203.0,
  "lattice": [[-0.470, -3.294, -5.001], [5.405, 1.759, 1.940], [0.690, -7.486, 4.866]],
  "species": ["F", "F", "F", "F", "F", "F", "F", "F", "F", "F", "F", "F", "Pd", "Pd", "Hg", "Hg", "Ti", "Ti"],
  "frac_coords": [[0.254, 0.869, 0.619], [0.254, 0.385, 0.881], [0.385, 0.131, 0.119], [0.869, 0.254, 0.119], [0.615, 0.869, 0.881], [0.385, 0.254, 0.381], [0.615, 0.746, 0.619], [0.746, 0.615, 0.119], [0.869, 0.615, 0.381], [0.131, 0.746, 0.881], [0.131, 0.385, 0.619], [0.746, 0.131, 0.381], [0.000, 0.000, 0.000], [0.000, 0.000, 0.500], [0.333, 0.667, 0.250], [0.667, 0.333, 0.750], [0.667, 0.333, 0.250], [0.333, 0.667, 0.750]]
}

***

5.
{
  "formula": "Rb5TbO4",
  "functional": "PBE",
  "state": "relaxed",
  "de_polymorph_mev_per_atom": 100,
  "crystal_system": "monoclinic",
  "raw_formation_energy_kj_per_mol_atoms": -148.5,
  "lattice": [[-2.466, 2.738, 0.732], [0.351, -1.684, 7.486], [7.649, 4.730, -1.571]],
  "species": ["O", "O", "O", "O", "Rb", "Rb", "Rb", "Rb", "Rb", "Tb"],
  "frac_coords": [[0.635, 0.084, 0.270], [0.365, 0.916, 0.730], [0.001, 0.796, 0.001], [0.999, 0.204, 0.999], [0.500, 0.500, 0.000], [0.160, 0.864, 0.319], [0.153, 0.323, 0.306], [0.847, 0.677, 0.694], [0.840, 0.136, 0.681], [0.500, 0.000, 0.000]]
}

***

6.
{
  "formula": "CaZn4Ag",
  "functional": "PBE",
  "state": "relaxed",
  "de_polymorph_mev_per_atom": 0,
  "dos_at_fermi_per_ev_cell": 3.64,
  "crystal_system": "cubic",
  "formation_enthalpy_0k_mev_per_atom": -169,
  "lattice": [[5.319, 0.000, 0.000], [2.659, 4.606, 0.000], [2.659, 1.535, 4.343]],
  "species": ["Zn", "Zn", "Zn", "Zn", "Ca", "Ag"],
  "frac_coords": [[0.624, 0.127, 0.624], [0.624, 0.624, 0.127], [0.624, 0.624, 0.624], [0.127, 0.624, 0.624], [0.000, 0.000, 0.000], [0.250, 0.250, 0.250]]
}

***

| no. | uncorrected energy (eV/atom) | volume (Å³ per atom) |
| --- | --- | --- |
| 1 | -4.72 | 43.21 |
| 2 | -4.14 | 18.79 |
| 3 | -2.33 | 24.45 |
| 4 | -4.84 | 15.54 |
| 5 | -4.47 | 24.97 |
| 6 | -1.83 | 17.73 |